The following is a GGA-PBE calculation of BaP3N after structural relaxation, from Alexandria via LeMat-Bulk.

## Properties
E_form (uncorrected), eV per formula unit: 2.9
ρ, g cm⁻³: 4.50
Total energy, eV/atom: -4.72
Energy above the most stable polymorph in this dataset, eV/atom: 0.000

Cell lengths 4.4851, 4.4851, 4.4851 Å; angles 90.00, 90.00, 90.00 degrees
With the nearest neighbours (Å) after each atom.
Space group Pm-3m (No. 221)
One atom of each set of equivalent atoms:
Ba  0.0000  0.0000  0.0000 x1  12 P 3.17
P  0.0000  0.5000  0.5000 x3  2 N 2.24
N  0.5000  0.5000  0.5000 x1  6 P 2.24

The following is a GGA-PBE calculation of BaPN4 after structural relaxation, from Alexandria via LeMat-Bulk.

## Properties
E_form (uncorrected), eV per formula unit: -2.6
ρ, g cm⁻³: 3.77
Total energy, eV/atom: -7.20

Cell lengths 6.4000, 18.3440, 4.5907 Å; angles 90.00, 132.80, 90.00 degrees
With the nearest neighbours (Å) after each atom.
Space group C2/c (No. 15)
One atom of each set of equivalent atoms:
Ba  0.0000  0.1532  0.2500 x4  6 N 2.75-3.03
P  0.0000  0.4982  0.7500 x4  4 N 1.66-1.68
N  0.0072  0.2849  0.6287 x8  1 N 1.18
N  0.1716  0.4505  0.1658 x8  2 P 1.66-1.68

The following is a GGA-PBE calculation of Ba6PN2 after structural relaxation, from Alexandria via LeMat-Bulk.

## Properties
E_form (uncorrected), eV per formula unit: -3.9
ρ, g cm⁻³: 3.84
Total energy, eV/atom: -4.17
Energy above the most stable polymorph in this dataset, eV/atom: 0.070

Cell lengths 15.4933, 5.0215, 10.1070 Å; angles 90.00, 103.86, 90.00 degrees
With the nearest neighbours (Å) after each atom.
Space group C2/m (No. 12)
One atom of each set of equivalent atoms:
Ba  0.1063  0.0000  0.2346 x4  1 N 2.53
Ba  0.1321  0.5000  0.5959 x4  1 N 2.68
Ba  0.1875  0.0000  0.8851 x4  3 N 2.73-2.76
P  0.0000  0.0000  0.5000 x2  6 Ba 3.24-3.47
N  0.2485  0.5000  0.8390 x4  5 Ba 2.53-2.76

Q: What is the ρ in the first record?
A: 4.50 g cm⁻³

Q: Which formula does entry 2 have?
A: BaPN4